Entry w
# Nd8GaHg2 (GGA-PBE, optimized geometry)
# crystal system: orthorhombic
# V: 30.642 Å³/atom
data_Nd8GaHg2
_space_group_name_H-M_alt 'I m m m'
_space_group_IT_number 71
_space_group_name_Hall '-I 2 2'
_cell_length_a 5.179
_cell_length_b 8.713
_cell_length_c 14.939
_cell_angle_alpha 90.00
_cell_angle_beta 90.00
_cell_angle_gamma 90.00
loop_
_atom_site_label
_atom_site_type_symbol
_atom_site_fract_x
_atom_site_fract_y
_atom_site_fract_z
_atom_site_occupancy
Nd1 Nd 0.000 0.000 0.131 1
Nd2 Nd 0.000 0.228 0.343 1
Nd3 Nd 0.000 0.318 0.000 1
Ga1 Ga 0.000 0.500 0.500 1
Hg1 Hg 0.000 0.500 0.197 1

---

Entry x
# Nd8GaHg2 (GGA-PBE, optimized geometry)
# crystal system: monoclinic
# V: 31.048 Å³/atom
data_Nd8GaHg2
_space_group_name_H-M_alt 'C 1 2/m 1'
_space_group_IT_number 12
_space_group_name_Hall '-C 2y'
_cell_length_a 19.013
_cell_length_b 5.338
_cell_length_c 7.115
_cell_angle_alpha 90.00
_cell_angle_beta 108.93
_cell_angle_gamma 90.00
loop_
_atom_site_label
_atom_site_type_symbol
_atom_site_fract_x
_atom_site_fract_y
_atom_site_fract_z
_atom_site_occupancy
Nd1 Nd 0.015 0.000 0.274 1
Nd2 Nd 0.090 0.500 0.963 1
Nd3 Nd 0.164 0.500 0.488 1
Nd4 Nd 0.200 0.000 0.825 1
Ga1 Ga 0.000 0.500 0.500 1
Hg1 Hg 0.174 0.000 0.230 1

---

Stability, lowest: entry w

---

Entry w
# PmNdGaHg (GGA-PBE, optimized geometry)
# crystal system: tetragonal
# V: 26.435 Å³/atom
data_PmNdGaHg
_space_group_name_H-M_alt 'P 4 m m'
_space_group_IT_number 99
_space_group_name_Hall 'P 4 -2'
_cell_length_a 3.675
_cell_length_b 3.675
_cell_length_c 7.829
_cell_angle_alpha 90.00
_cell_angle_beta 90.00
_cell_angle_gamma 90.00
loop_
_atom_site_label
_atom_site_type_symbol
_atom_site_fract_x
_atom_site_fract_y
_atom_site_fract_z
_atom_site_occupancy
Pm1 Pm 0.000 0.000 0.000 1
Nd1 Nd 0.000 0.000 0.470 1
Ga1 Ga 0.500 0.500 0.232 1
Hg1 Hg 0.500 0.500 0.740 1

---

Entry x
# PmNdGaHg (GGA-PBE, optimized geometry)
# crystal system: cubic
# V: 26.787 Å³/atom
data_PmNdGaHg
_space_group_name_H-M_alt 'F -4 3 m'
_space_group_IT_number 216
_space_group_name_Hall 'F -4 2 3'
_cell_length_a 7.540
_cell_length_b 7.540
_cell_length_c 7.540
_cell_angle_alpha 90.00
_cell_angle_beta 90.00
_cell_angle_gamma 90.00
loop_
_atom_site_label
_atom_site_type_symbol
_atom_site_fract_x
_atom_site_fract_y
_atom_site_fract_z
_atom_site_occupancy
Pm1 Pm 0.000 0.000 0.000 1
Nd1 Nd 0.000 0.000 0.500 1
Ga1 Ga 0.250 0.250 0.250 1
Hg1 Hg 0.250 0.250 0.750 1

---

Stability, lowest: entry x

---

Entry w
# NdSmGaHg (GGA-PBE, optimized geometry)
# crystal system: cubic
# V: 26.593 Å³/atom
data_NdSmGaHg
_space_group_name_H-M_alt 'F -4 3 m'
_space_group_IT_number 216
_space_group_name_Hall 'F -4 2 3'
_cell_length_a 7.521
_cell_length_b 7.521
_cell_length_c 7.521
_cell_angle_alpha 90.00
_cell_angle_beta 90.00
_cell_angle_gamma 90.00
loop_
_atom_site_label
_atom_site_type_symbol
_atom_site_fract_x
_atom_site_fract_y
_atom_site_fract_z
_atom_site_occupancy
Nd1 Nd 0.000 0.000 0.000 1
Sm1 Sm 0.000 0.000 0.500 1
Ga1 Ga 0.250 0.250 0.250 1
Hg1 Hg 0.250 0.250 0.750 1

---

Entry x
# NdSmGaHg (GGA-PBE, optimized geometry)
# crystal system: tetragonal
# V: 26.247 Å³/atom
data_NdSmGaHg
_space_group_name_H-M_alt 'P 4 m m'
_space_group_IT_number 99
_space_group_name_Hall 'P 4 -2'
_cell_length_a 3.669
_cell_length_b 3.669
_cell_length_c 7.801
_cell_angle_alpha 90.00
_cell_angle_beta 90.00
_cell_angle_gamma 90.00
loop_
_atom_site_label
_atom_site_type_symbol
_atom_site_fract_x
_atom_site_fract_y
_atom_site_fract_z
_atom_site_occupancy
Nd1 Nd 0.000 0.000 0.000 1
Sm1 Sm 0.000 0.000 0.530 1
Ga1 Ga 0.500 0.500 0.761 1
Hg1 Hg 0.500 0.500 0.273 1

---

Stability, lowest: entry w

---

Entry w
# NdGaSnHg (GGA-PBE, optimized geometry)
# crystal system: orthorhombic
# V: 24.527 Å³/atom
data_NdGaSnHg
_space_group_name_H-M_alt 'P m m m'
_space_group_IT_number 47
_space_group_name_Hall '-P 2 2'
_cell_length_a 4.518
_cell_length_b 4.630
_cell_length_c 4.690
_cell_angle_alpha 90.00
_cell_angle_beta 90.00
_cell_angle_gamma 90.00
loop_
_atom_site_label
_atom_site_type_symbol
_atom_site_fract_x
_atom_site_fract_y
_atom_site_fract_z
_atom_site_occupancy
Nd1 Nd 0.000 0.000 0.000 1
Ga1 Ga 0.500 0.500 0.000 1
Sn1 Sn 0.500 0.000 0.500 1
Hg1 Hg 0.000 0.500 0.500 1

---

Entry x
# NdGaSnHg (GGA-PBE, optimized geometry)
# crystal system: cubic
# V: 25.192 Å³/atom
data_NdGaSnHg
_space_group_name_H-M_alt 'F -4 3 m'
_space_group_IT_number 216
_space_group_name_Hall 'F -4 2 3'
_cell_length_a 7.387
_cell_length_b 7.387
_cell_length_c 7.387
_cell_angle_alpha 90.00
_cell_angle_beta 90.00
_cell_angle_gamma 90.00
loop_
_atom_site_label
_atom_site_type_symbol
_atom_site_fract_x
_atom_site_fract_y
_atom_site_fract_z
_atom_site_occupancy
Nd1 Nd 0.000 0.000 0.000 1
Ga1 Ga 0.250 0.250 0.750 1
Sn1 Sn 0.000 0.000 0.500 1
Hg1 Hg 0.250 0.250 0.250 1

---

Stability, lowest: entry x